LiTbPrGd: optimized geometry, GGA-PBE.

## Properties
As for the total energy: -6.175 eV/atom. For the size of the total moment, the calculation gives 7.32 μB per formula unit.

Cell: 7.877 7.877 7.877 Å, 90.00 90.00 90.00°
Space group F-43m (No. 216)
One atom of each set of equivalent atoms:
1 Li 0.000 0.000 0.000 [4 per cell]
2 Tb 0.250 0.250 0.250 [4 per cell]
3 Pr 0.250 0.250 0.750 [4 per cell]
4 Gd 0.000 0.000 0.500 [4 per cell]

---

RbSrAs2Se: optimized geometry, GGA-PBE.

## Properties
As for the total energy: -2.572 eV/atom. As for the relative energy among the computed polymorphs: 471 meV/atom. Its formation energy from raw total energies is 0.51 eV per atom. For the size of the total moment, the calculation gives 2.61 μB per formula unit.

Cell: 5.696 5.696 8.515 Å, 90.00 90.00 90.00°
Space group P4/mmm (No. 123)
One atom of each set of equivalent atoms:
1 Rb 0.000 0.000 0.000 [1 per cell]
2 Sr 0.000 0.000 0.500 [1 per cell]
3 As 0.000 0.500 0.500 [2 per cell]
4 Se 0.500 0.500 0.000 [1 per cell]

---

Na2GeF4: optimized geometry, GGA-PBE.

## Properties
As for the total energy: -4.407 eV/atom. As for the relative energy among the computed polymorphs: 164 meV/atom. Its formation energy from raw total energies is -2.30 eV per atom. For the size of the total moment, the calculation gives 0.00 μB per formula unit.

Cell: 4.412 4.412 12.076 Å, 90.00 90.00 90.00°
Space group I4/mmm (No. 139)
One atom of each set of equivalent atoms:
1 Na 0.000 0.000 0.142 [4 per cell]
2 Ge 0.000 0.000 0.500 [2 per cell]
3 F 0.000 0.000 0.321 [4 per cell]
4 F 0.000 0.500 0.000 [4 per cell]

---

K2AgHgF6: optimized geometry, GGA-PBE.

## Properties
As for the total energy: -3.577 eV/atom. Its formation energy from raw total energies is -1.92 eV per atom. For the size of the total moment, the calculation gives 1.02 μB per formula unit.

Cell: 10.899 6.221 6.362 Å, 90.00 122.25 90.00°
Space group C2/m (No. 12)
One atom of each set of equivalent atoms:
1 K 0.243 0.000 0.221 [4 per cell]
2 Ag 0.000 0.500 0.000 [2 per cell]
3 Hg 0.000 0.000 0.500 [2 per cell]
4 F 0.061 0.261 0.831 [8 per cell]
5 F 0.225 0.000 0.623 [4 per cell]

---

RbTi3Cr: optimized geometry, GGA-PBE.

## Properties
As for the total energy: -4.384 eV/atom. As for the relative energy among the computed polymorphs: 1481 meV/atom. For the size of the total moment, the calculation gives 1.12 μB per formula unit.

Cell: 4.625 4.625 4.625 Å, 90.00 90.00 90.00°
Space group Pm-3m (No. 221)
One atom of each set of equivalent atoms:
1 Rb 0.000 0.000 0.000 [1 per cell]
2 Ti 0.000 0.000 0.500 [3 per cell]
3 Cr 0.500 0.500 0.500 [1 per cell]

---

Na2MgW: optimized geometry, GGA-PBE.

## Properties
As for the total energy: -2.849 eV/atom. For the size of the total moment, the calculation gives 3.94 μB per formula unit.

Cell: 8.515 8.515 5.852 Å, 90.00 90.00 90.00°
Space group I-42d (No. 122)
One atom of each set of equivalent atoms:
1 Na 0.245 0.250 0.125 [8 per cell]
2 Mg 0.000 0.000 0.000 [4 per cell]
3 W 0.000 0.000 0.500 [4 per cell]

---

SrPuTlSb: optimized geometry, GGA-PBE.

## Properties
As for the total energy: -5.977 eV/atom. Its formation energy from raw total energies is -0.35 eV per atom. For the size of the total moment, the calculation gives 5.98 μB per formula unit.

Cell: 7.882 7.882 7.882 Å, 90.00 90.00 90.00°
Space group F-43m (No. 216)
One atom of each set of equivalent atoms:
1 Sr 0.000 0.000 0.000 [4 per cell]
2 Pu 0.000 0.000 0.500 [4 per cell]
3 Tl 0.250 0.250 0.750 [4 per cell]
4 Sb 0.250 0.250 0.250 [4 per cell]

---

What is the formula in the seventh record? SrPuTlSb

---

Among the records above, which one has the lowest total energy? LiTbPrGd

---

Among the records above, which one has the lowest size of the total moment? Na2GeF4